No. 1
Below is a relaxed Dy2Pd2O7 crystal, with properties calculated at the PBE level.

abc: 10.254 10.254 10.254
angles: 90.00 90.00 90.00
Space group Fd-3m (No. 227, origin choice 2)
Unique sites:
Dy 0.000 0.000 0.000 x16
Pd 0.000 0.000 0.500 x16
O 0.090 0.375 0.875 x48
O 0.125 0.125 0.125 x8

Summary:
- Size of the total moment: 0.00 μB per formula unit
- Density: 8.0 g cm⁻³
- Electronic total energy: -6.855 eV/atom
- Formation energy (no corrections): -1.92 eV/atom
- Polymorph energy (0 for the lowest one): 0 meV per atom

No. 2
Below is a relaxed Dy2PdO crystal, with properties calculated at the PBE level.

abc: 3.159 3.159 7.045
angles: 90.00 90.00 90.00
Space group P4/mmm (No. 123)
Unique sites:
Dy 0.000 0.000 0.226 x2
Pd 0.500 0.500 0.500 x1
O 0.500 0.500 0.000 x1

Summary:
- Size of the total moment: 0.00 μB per formula unit
- Density: 10.6 g cm⁻³
- Electronic total energy: -6.126 eV/atom
- Formation energy (no corrections): -1.29 eV/atom
- Polymorph energy (0 for the lowest one): 0 meV per atom

No. 3
Below is a relaxed Dy2Pd2O7 crystal, with properties calculated at the PBE level.

abc: 4.973 5.510 5.575
angles: 107.25 99.28 94.81
Space group P-1 (No. 2)
Unique sites:
Dy 0.115 0.287 0.210 x2
Pd 0.460 0.235 0.740 x2
O 0.246 0.020 0.899 x2
O 0.247 0.513 0.944 x2
O 0.254 0.979 0.402 x2
O 0.500 0.500 0.500 x1

Summary:
- Size of the total moment: 0.00 μB per formula unit
- Density: 7.6 g cm⁻³
- Electronic total energy: -6.466 eV/atom
- Formation energy (no corrections): -1.53 eV/atom
- Polymorph energy (0 for the lowest one): 389 meV per atom

No. 4
Below is a relaxed Dy2PdO4 crystal, with properties calculated at the PBE level.

abc: 11.445 3.499 5.825
angles: 90.00 116.16 90.00
Space group C2/m (No. 12)
Unique sites:
Dy 0.211 0.000 0.218 x4
Pd 0.000 0.500 0.500 x2
O 0.130 0.500 0.348 x4
O 0.160 0.000 0.800 x4

Summary:
- Size of the total moment: 0.00 μB per formula unit
- Density: 7.9 g cm⁻³
- Electronic total energy: -7.273 eV/atom
- Formation energy (no corrections): -2.38 eV/atom
- Polymorph energy (0 for the lowest one): 287 meV per atom

No. 5
Below is a relaxed Dy6Pd2O crystal, with properties calculated at the PBE level.

abc: 6.414 6.990 11.442
angles: 90.00 122.73 90.00
Space group P2_1/c (No. 14)
Unique sites:
Dy 0.121 0.026 0.244 x4
Dy 0.232 0.688 0.058 x4
Dy 0.372 0.180 0.057 x4
Pd 0.306 0.101 0.753 x4
O 0.000 0.000 0.000 x2

Summary:
- Size of the total moment: 0.00 μB per formula unit
- Density: 9.3 g cm⁻³
- Electronic total energy: -5.830 eV/atom
- Formation energy (no corrections): -1.06 eV/atom

No. 6
Below is a relaxed Dy2PdO crystal, with properties calculated at the PBE level.

abc: 3.3486 3.3486 24.3035
angles: 90.00 90.00 120.00
Space group R-3m (No. 166, hexagonal axes)
Unique sites:
Dy 0.0000 0.0000 0.1084 x6
Pd 0.0000 0.0000 0.0000 x3
O 0.0000 0.0000 0.5000 x3

Summary:
- Size of the total moment: 0.00 μB per formula unit
- Density: 9.4 g cm⁻³
- Electronic total energy: -6.112 eV/atom
- Formation energy (no corrections): -1.27 eV/atom
- Polymorph energy (0 for the lowest one): 14 meV per atom